No. 1
{"formula": "SrTlNi", "functional": "PBE", "state": "optimized geometry", "n_ef_per_ev_fu": 2.194, "sg": "I4mm (107)", "magmom_total_mub_per_fu": 0.000, "dft_energy_ev_per_cell": -9.8, "delta_e_f_ev_per_atom": 0.01, "cell": [[-1.8107, 1.8107, 5.6077], [1.8107, -1.8107, 5.6077], [1.8107, 1.8107, -5.6077]], "species": ["Sr", "Tl", "Ni"], "frac_coords": [[0.0000, 0.0000, 0.0000], [0.2882, 0.2882, 0.0000], [0.6896, 0.6896, 0.0000]]}


No. 2
{"formula": "Pm4Y3UN8", "functional": "PBE", "state": "optimized geometry", "n_ef_per_ev_fu": 9.220, "sg": "R-3m (166)", "magmom_total_mub_per_fu": 0.955, "dft_energy_ev_per_cell": -141.0, "e_form_raw_kj_per_mol_fu": -2382, "cell": [[3.5223, 2.0336, 5.7957], [-3.5223, 2.0336, 5.7957], [0.0000, -4.0673, 5.7957]], "species": ["Pm", "Pm", "Pm", "Pm", "Y", "Y", "Y", "U", "N", "N", "N", "N", "N", "N", "N", "N"], "frac_coords": [[0.0000, 0.0000, 0.0000], [0.0000, 0.5000, 0.5000], [0.5000, 0.0000, 0.5000], [0.5000, 0.5000, 0.0000], [0.0000, 0.0000, 0.5000], [0.0000, 0.5000, 0.0000], [0.5000, 0.0000, 0.0000], [0.5000, 0.5000, 0.5000], [0.2469, 0.2469, 0.2469], [0.2598, 0.7335, 0.7335], [0.2665, 0.2665, 0.7402], [0.2665, 0.7402, 0.2665], [0.7335, 0.2598, 0.7335], [0.7335, 0.7335, 0.2598], [0.7402, 0.2665, 0.2665], [0.7531, 0.7531, 0.7531]]}


No. 3
{"formula": "VSb2TeSe", "functional": "PBE", "state": "optimized geometry", "n_ef_per_ev_fu": 2.401, "sg": "P4/mmm (123)", "magmom_total_mub_per_fu": 0.000, "dft_energy_ev_per_cell": -22.7, "e_form_raw_kj_per_mol_fu": 126, "polymorph_energy_kcal_per_mol_atoms": 0.000, "cell": [[5.1272, 0.0000, 0.0000], [0.0000, 5.1272, 0.0000], [0.0000, 0.0000, 4.9926]], "species": ["V", "Sb", "Sb", "Te", "Se"], "frac_coords": [[0.0000, 0.0000, 0.0000], [0.0000, 0.5000, 0.0000], [0.5000, 0.0000, 0.0000], [0.0000, 0.0000, 0.5000], [0.5000, 0.5000, 0.5000]]}


No. 4
{"formula": "La8Nd2Sm", "functional": "PBE", "state": "optimized geometry", "n_ef_per_ev_fu": 16.100, "sg": "C2/m (12)", "magmom_total_mub_per_fu": 0.000, "dft_energy_ev_per_cell": -52.4, "delta_e_f_ev_per_atom": 0.12, "polymorph_energy_kcal_per_mol_atoms": 2.379, "cell": [[4.6658, -8.4974, 0.0000], [4.6658, 8.4974, 0.0000], [-3.4740, 0.0000, 5.0705]], "species": ["La", "La", "La", "La", "La", "La", "La", "La", "Nd", "Nd", "Sm"], "frac_coords": [[0.0968, 0.3331, 0.6839], [0.2045, 0.7955, 0.0000], [0.3331, 0.0968, 0.6839], [0.4212, 0.4212, 0.2013], [0.5788, 0.5788, 0.7987], [0.6669, 0.9032, 0.3161], [0.7955, 0.2045, 0.0000], [0.9032, 0.6669, 0.3161], [0.3094, 0.6906, 0.5000], [0.6906, 0.3094, 0.5000], [0.0000, 0.0000, 0.0000]]}


No. 5
{"formula": "Mg2TaSn", "functional": "PBE", "state": "optimized geometry", "n_ef_per_ev_fu": 4.239, "sg": "R-3m (166)", "magmom_total_mub_per_fu": 0.234, "dft_energy_ev_per_cell": -17.0, "delta_e_f_ev_per_atom": 0.52, "cell": [[1.5600, 0.9006, 10.5539], [-1.5600, 0.9006, 10.5539], [0.0000, -1.8013, 10.5539]], "species": ["Mg", "Mg", "Ta", "Sn"], "frac_coords": [[0.0887, 0.0887, 0.0887], [0.9113, 0.9113, 0.9113], [0.0000, 0.0000, 0.0000], [0.5000, 0.5000, 0.5000]]}


No. 6
{"formula": "LiZrCl", "functional": "PBE", "state": "optimized geometry", "n_ef_per_ev_fu": 2.344, "sg": "F-43m (216)", "magmom_total_mub_per_fu": 1.621, "dft_energy_ev_per_cell": -12.3, "e_form_raw_kj_per_mol_fu": -1, "polymorph_energy_kcal_per_mol_atoms": 15.635, "cell": [[0.0000, 3.0707, 3.0707], [3.0707, 0.0000, 3.0707], [3.0707, 3.0707, 0.0000]], "species": ["Li", "Zr", "Cl"], "frac_coords": [[0.0000, 0.0000, 0.0000], [0.5000, 0.5000, 0.5000], [0.7500, 0.7500, 0.7500]]}


No. 7
{"formula": "LaMg6Cu", "functional": "PBE", "state": "optimized geometry", "n_ef_per_ev_fu": 4.529, "sg": "Amm2 (38)", "magmom_total_mub_per_fu": 0.000, "dft_energy_ev_per_cell": -18.5, "delta_e_f_ev_per_atom": 0.01, "polymorph_energy_kcal_per_mol_atoms": 0.000, "cell": [[4.8891, 0.0000, 0.0000], [0.0000, 2.9534, 6.7120], [0.0000, -2.9534, 6.7120]], "species": ["La", "Mg", "Mg", "Mg", "Mg", "Mg", "Mg", "Cu"], "frac_coords": [[0.0000, 0.0000, 0.0000], [0.0000, 0.4925, 0.9846], [0.0000, 0.9846, 0.4925], [0.5000, 0.1280, 0.6206], [0.5000, 0.1621, 0.1621], [0.5000, 0.5812, 0.5812], [0.5000, 0.6206, 0.1280], [0.0000, 0.4122, 0.4122]]}


No. 8
{"formula": "AcThCo2", "functional": "PBE", "state": "optimized geometry", "n_ef_per_ev_fu": 2.644, "sg": "P4/mmm (123)", "magmom_total_mub_per_fu": 0.000, "dft_energy_ev_per_cell": -25.8, "delta_e_f_ev_per_atom": -0.02, "cell": [[3.5155, 0.0000, 0.0000], [0.0000, 3.5155, 0.0000], [0.0000, 0.0000, 7.1965]], "species": ["Ac", "Th", "Co", "Co"], "frac_coords": [[0.0000, 0.0000, 0.0000], [0.0000, 0.0000, 0.5000], [0.5000, 0.5000, 0.3034], [0.5000, 0.5000, 0.6966]]}


No. 9
{"formula": "Cs4Si2Mo", "functional": "PBE", "state": "optimized geometry", "n_ef_per_ev_fu": 9.752, "sg": "I4/mmm (139)", "magmom_total_mub_per_fu": 0.000, "dft_energy_ev_per_cell": -16.8, "e_form_raw_kj_per_mol_fu": 796, "cell": [[-3.7753, 3.7753, 7.2347], [3.7753, -3.7753, 7.2347], [3.7753, 3.7753, -7.2347]], "species": ["Cs", "Cs", "Cs", "Cs", "Si", "Si", "Mo"], "frac_coords": [[0.0000, 0.5000, 0.5000], [0.1850, 0.1850, 0.0000], [0.5000, 0.0000, 0.5000], [0.8150, 0.8150, 0.0000], [0.4260, 0.4260, 0.0000], [0.5740, 0.5740, 0.0000], [0.0000, 0.0000, 0.0000]]}


No. 10
{"formula": "NaPm12Ge6", "functional": "PBE", "state": "optimized geometry", "n_ef_per_ev_fu": 15.878, "sg": "R-3m (166)", "magmom_total_mub_per_fu": 0.000, "dft_energy_ev_per_cell": -94.4, "delta_e_f_ev_per_atom": -0.44, "cell": [[6.9616, 4.0193, 3.7089], [-6.9616, 4.0193, 3.7089], [0.0000, -8.0385, 3.7089]], "species": ["Na", "Pm", "Pm", "Pm", "Pm", "Pm", "Pm", "Pm", "Pm", "Pm", "Pm", "Pm", "Pm", "Ge", "Ge", "Ge", "Ge", "Ge", "Ge"], "frac_coords": [[0.0000, 0.0000, 0.0000], [0.1328, 0.5000, 0.8672], [0.1328, 0.8672, 0.5000], [0.1813, 0.4566, 0.4566], [0.4566, 0.1813, 0.4566], [0.4566, 0.4566, 0.1813], [0.5000, 0.1328, 0.8672], [0.5000, 0.8672, 0.1328], [0.5434, 0.5434, 0.8187], [0.5434, 0.8187, 0.5434], [0.8187, 0.5434, 0.5434], [0.8672, 0.1328, 0.5000], [0.8672, 0.5000, 0.1328], [0.2403, 0.2403, 0.6729], [0.2403, 0.6729, 0.2403], [0.3271, 0.7597, 0.7597], [0.6729, 0.2403, 0.2403], [0.7597, 0.3271, 0.7597], [0.7597, 0.7597, 0.3271]]}


No. 11
{"formula": "LiLa3Co", "functional": "PBE", "state": "optimized geometry", "n_ef_per_ev_fu": 5.209, "sg": "P-1 (2)", "magmom_total_mub_per_fu": 0.000, "dft_energy_ev_per_cell": -47.7, "delta_e_f_ev_per_atom": -0.01, "polymorph_energy_kcal_per_mol_atoms": 0.521, "cell": [[3.7318, 0.0000, 0.0000], [1.8567, 7.2249, 0.0000], [0.0374, 0.0439, 10.5327]], "species": ["Li", "Li", "La", "La", "La", "La", "La", "La", "Co", "Co"], "frac_coords": [[0.1856, 0.1241, 0.0811], [0.8144, 0.8759, 0.9189], [0.0665, 0.3687, 0.3602], [0.2078, 0.0849, 0.6510], [0.4414, 0.6204, 0.1321], [0.5586, 0.3796, 0.8679], [0.7922, 0.9151, 0.3490], [0.9335, 0.6313, 0.6398], [0.4200, 0.6580, 0.4214], [0.5800, 0.3420, 0.5786]]}


No. 12
{"formula": "Nd2Er4Cd", "functional": "PBE", "state": "optimized geometry", "n_ef_per_ev_fu": 9.904, "sg": "C2/m (12)", "magmom_total_mub_per_fu": 0.000, "dft_energy_ev_per_cell": -28.7, "delta_e_f_ev_per_atom": 0.00, "cell": [[8.5124, -1.7887, 0.0000], [8.5124, 1.7887, 0.0000], [-3.7946, 0.0000, 7.2291]], "species": ["Nd", "Nd", "Er", "Er", "Er", "Er", "Cd"], "frac_coords": [[0.2143, 0.2143, 0.1333], [0.7857, 0.7857, 0.8667], [0.1400, 0.1400, 0.4669], [0.4413, 0.4413, 0.2660], [0.5587, 0.5587, 0.7340], [0.8600, 0.8600, 0.5331], [0.0000, 0.0000, 0.0000]]}